The following is a DFT calculation (PBE) of a relaxed structure of Tm6Al43Cr4.

abc: 10.8819 10.8819 17.4866
angles: 90.00 90.00 120.00
Atoms (fractional coordinates):
1 Tm 0.0000 0.4695 0.0952
2 Tm 0.0000 0.4695 0.4048
3 Tm 0.0000 0.5305 0.5952
4 Tm 0.0000 0.5305 0.9048
5 Tm 0.4695 0.0000 0.0952
6 Tm 0.4695 0.0000 0.4048
7 Tm 0.4695 0.4695 0.5952
8 Tm 0.4695 0.4695 0.9048
9 Tm 0.5305 0.0000 0.5952
10 Tm 0.5305 0.0000 0.9048
11 Tm 0.5305 0.5305 0.0952
12 Tm 0.5305 0.5305 0.4048
13 Al 0.0000 0.1456 0.7500
14 Al 0.0000 0.1556 0.1157
15 Al 0.0000 0.1556 0.3843
16 Al 0.0000 0.2507 0.5301
17 Al 0.0000 0.2507 0.9699
18 Al 0.0000 0.7493 0.0301
19 Al 0.0000 0.7493 0.4699
20 Al 0.0000 0.8444 0.6157
21 Al 0.0000 0.8444 0.8843
22 Al 0.0000 0.8544 0.2500
23 Al 0.1443 0.5467 0.2500
24 Al 0.1443 0.5976 0.7500
25 Al 0.1456 0.0000 0.7500
26 Al 0.1456 0.1456 0.2500
27 Al 0.1556 0.0000 0.1157
28 Al 0.1556 0.0000 0.3843
29 Al 0.1556 0.1556 0.6157
30 Al 0.1556 0.1556 0.8843
31 Al 0.1582 0.3914 0.6650
32 Al 0.1582 0.3914 0.8350
33 Al 0.1582 0.7668 0.1650
34 Al 0.1582 0.7668 0.3350
35 Al 0.2332 0.3914 0.1650
36 Al 0.2332 0.3914 0.3350
37 Al 0.2332 0.8418 0.6650
38 Al 0.2332 0.8418 0.8350
39 Al 0.2463 0.4927 0.0000
40 Al 0.2463 0.4927 0.5000
41 Al 0.2463 0.7537 0.0000
42 Al 0.2463 0.7537 0.5000
43 Al 0.2507 0.0000 0.5301
44 Al 0.2507 0.0000 0.9699
45 Al 0.2507 0.2507 0.0301
46 Al 0.2507 0.2507 0.4699
47 Al 0.3333 0.6667 0.1265
48 Al 0.3333 0.6667 0.3735
49 Al 0.3333 0.6667 0.6265
50 Al 0.3333 0.6667 0.8735
51 Al 0.3914 0.1582 0.6650
52 Al 0.3914 0.1582 0.8350
53 Al 0.3914 0.2332 0.1650
54 Al 0.3914 0.2332 0.3350
55 Al 0.4024 0.5467 0.7500
56 Al 0.4024 0.8557 0.2500
57 Al 0.4533 0.5976 0.2500
58 Al 0.4533 0.8557 0.7500
59 Al 0.4927 0.2463 0.0000
60 Al 0.4927 0.2463 0.5000
61 Al 0.5073 0.7537 0.0000
62 Al 0.5073 0.7537 0.5000
63 Al 0.5467 0.1443 0.2500
64 Al 0.5467 0.4024 0.7500
65 Al 0.5976 0.1443 0.7500
66 Al 0.5976 0.4533 0.2500
67 Al 0.6086 0.7668 0.6650
68 Al 0.6086 0.7668 0.8350
69 Al 0.6086 0.8418 0.1650
70 Al 0.6086 0.8418 0.3350
71 Al 0.6667 0.3333 0.1265
72 Al 0.6667 0.3333 0.3735
73 Al 0.6667 0.3333 0.6265
74 Al 0.6667 0.3333 0.8735
75 Al 0.7493 0.0000 0.0301
76 Al 0.7493 0.0000 0.4699
77 Al 0.7493 0.7493 0.5301
78 Al 0.7493 0.7493 0.9699
79 Al 0.7537 0.2463 0.0000
80 Al 0.7537 0.2463 0.5000
81 Al 0.7537 0.5073 0.0000
82 Al 0.7537 0.5073 0.5000
83 Al 0.7668 0.1582 0.1650
84 Al 0.7668 0.1582 0.3350
85 Al 0.7668 0.6086 0.6650
86 Al 0.7668 0.6086 0.8350
87 Al 0.8418 0.2332 0.6650
88 Al 0.8418 0.2332 0.8350
89 Al 0.8418 0.6086 0.1650
90 Al 0.8418 0.6086 0.3350
91 Al 0.8444 0.0000 0.6157
92 Al 0.8444 0.0000 0.8843
93 Al 0.8444 0.8444 0.1157
94 Al 0.8444 0.8444 0.3843
95 Al 0.8544 0.0000 0.2500
96 Al 0.8544 0.8544 0.7500
97 Al 0.8557 0.4024 0.2500
98 Al 0.8557 0.4533 0.7500
99 Cr 0.0000 0.0000 0.0000
100 Cr 0.0000 0.0000 0.5000
101 Cr 0.0000 0.2683 0.2500
102 Cr 0.0000 0.7317 0.7500
103 Cr 0.2683 0.0000 0.2500
104 Cr 0.2683 0.2683 0.7500
105 Cr 0.7317 0.0000 0.7500
106 Cr 0.7317 0.7317 0.2500

DOS at the Fermi energy ... 0.4207 states/eV per atom
Energy ... -4.534 eV per atom
Space-group type ... P6_3/mcm (193)
Magnetic moment ... 2.410 μB/cell

The following is a DFT calculation (PBE) of a relaxed structure of GdTmPd.

abc: 4.8785 4.8785 4.8785
angles: 60.00 60.00 60.00
Atoms (fractional coordinates):
1 Gd 0.0000 0.0000 0.0000
2 Tm 0.5000 0.5000 0.5000
3 Pd 0.2500 0.2500 0.2500

DOS at the Fermi energy ... 1.0195 states/eV per atom
Polymorph energy (0 for the lowest one) ... 84 meV per atom
Space-group type ... F-43m (216)
Magnetic moment ... 7.260 μB/cell

The following is a DFT calculation (PBE) of a relaxed structure of PuCoS.

abc: 3.8773 3.8773 3.8053
angles: 90.00 90.00 120.00
Atoms (fractional coordinates):
1 Pu 0.0000 0.0000 0.0000
2 Co 0.3333 0.6667 0.4989
3 S 0.6667 0.3333 0.5005

DOS at the Fermi energy ... 2.8957 states/eV per atom
Energy ... -9.380 eV per atom
Space-group type ... P3m1 (156)
Magnetic moment ... 4.938 μB/cell

The following is a DFT calculation (PBE) of a relaxed structure of CeTm2Th4.

abc: 17.8207 17.8207 3.5124
angles: 90.00 90.00 168.62
Atoms (fractional coordinates):
1 Ce 0.0000 0.0000 0.0000
2 Tm 0.2917 0.7083 0.5000
3 Tm 0.7083 0.2917 0.5000
4 Th 0.1392 0.8608 0.0000
5 Th 0.4311 0.5689 0.5000
6 Th 0.5689 0.4311 0.5000
7 Th 0.8608 0.1392 0.0000

DOS at the Fermi energy ... 1.8554 states/eV per atom
Polymorph energy (0 for the lowest one) ... 0 meV per atom
Space-group type ... Cmmm (65)
Magnetic moment ... 0.001 μB/cell

The following is a DFT calculation (PBE) of a relaxed structure of GaNCl2.

abc: 7.7878 7.7878 7.7878
angles: 33.04 33.04 33.04
Atoms (fractional coordinates):
1 Ga 0.0000 0.0000 0.0000
2 N 0.5000 0.5000 0.5000
3 Cl 0.4054 0.4054 0.4054
4 Cl 0.5946 0.5946 0.5946

DOS at the Fermi energy ... 0.0000 states/eV per atom
Polymorph energy (0 for the lowest one) ... 0 meV per atom
Space-group type ... R-3m (166)
Magnetic moment ... 2.000 μB/cell

The following is a DFT calculation (PBE) of a relaxed structure of Pm2SbTe.

abc: 4.4796 6.3360 8.9811
angles: 90.00 90.00 90.00
Atoms (fractional coordinates):
1 Pm 0.2500 0.2500 0.1184
2 Pm 0.2500 0.2500 0.6352
3 Pm 0.7500 0.7500 0.3648
4 Pm 0.7500 0.7500 0.8816
5 Sb 0.2500 0.7500 0.1253
6 Sb 0.7500 0.2500 0.8747
7 Te 0.2500 0.7500 0.6225
8 Te 0.7500 0.2500 0.3775

DOS at the Fermi energy ... 0.3502 states/eV per atom
Polymorph energy (0 for the lowest one) ... 0 meV per atom
Space-group type ... Pmmn (59)
Magnetic moment ... 0.000 μB/cell

The following is a DFT calculation (PBE) of a relaxed structure of RbAgSbS3.

abc: 7.8403 7.8403 10.5923
angles: 90.00 90.00 150.72
Atoms (fractional coordinates):
1 Rb 0.2275 0.7725 0.7500
2 Rb 0.7725 0.2275 0.2500
3 Ag 0.0714 0.9286 0.2500
4 Ag 0.9286 0.0714 0.7500
5 Sb 0.5000 0.5000 0.0000
6 Sb 0.5000 0.5000 0.5000
7 S 0.1202 0.8798 0.0287
8 S 0.1202 0.8798 0.4713
9 S 0.4558 0.5442 0.2500
10 S 0.5442 0.4558 0.7500
11 S 0.8798 0.1202 0.5287
12 S 0.8798 0.1202 0.9713

DOS at the Fermi energy ... 0.5919 states/eV per atom
Energy ... -3.771 eV per atom
Space-group type ... Cmcm (63)
Magnetic moment ... 0.000 μB/cell

The following is a DFT calculation (PBE) of a relaxed structure of CePr2Nd.

abc: 5.8357 5.8357 5.8357
angles: 60.00 60.00 60.00
Atoms (fractional coordinates):
1 Ce 0.0000 0.0000 0.0000
2 Pr 0.2500 0.2500 0.2500
3 Pr 0.7500 0.7500 0.7500
4 Nd 0.5000 0.5000 0.5000

DOS at the Fermi energy ... 2.9105 states/eV per atom
Polymorph energy (0 for the lowest one) ... 139 meV per atom
Space-group type ... Fm-3m (225)
Magnetic moment ... 2.905 μB/cell

The following is a DFT calculation (PBE) of a relaxed structure of Dy2Ag2Pt.

abc: 7.6286 7.6286 7.6286
angles: 128.95 69.14 136.67
Atoms (fractional coordinates):
1 Dy 0.1619 0.2059 0.3678
2 Dy 0.3381 0.7059 0.0440
3 Dy 0.6619 0.2941 0.9560
4 Dy 0.8381 0.7941 0.6322
5 Ag 0.0908 0.6471 0.7379
6 Ag 0.4092 0.1471 0.5562
7 Ag 0.5908 0.8529 0.4438
8 Ag 0.9092 0.3529 0.2621
9 Pt 0.2500 0.2500 0.0000
10 Pt 0.7500 0.7500 0.0000

DOS at the Fermi energy ... 0.6359 states/eV per atom
Polymorph energy (0 for the lowest one) ... 132 meV per atom
Space-group type ... Ibam (72)
Magnetic moment ... 0.000 μB/cell

The following is a DFT calculation (PBE) of a relaxed structure of BeNi2Pb.

abc: 3.0825 3.9646 4.9402
angles: 90.00 105.44 90.00
Atoms (fractional coordinates):
1 Be 0.0000 0.0000 0.0000
2 Ni 0.0686 0.5000 0.1632
3 Ni 0.6421 0.0000 0.3322
4 Pb 0.3743 0.5000 0.6960

DOS at the Fermi energy ... 0.4923 states/eV per atom
Polymorph energy (0 for the lowest one) ... 179 meV per atom
Space-group type ... Pm (6)
Magnetic moment ... 0.000 μB/cell

- What is the DOS at the Fermi energy in the ninth record?
  0.6359 states/eV per atom